1.
The following is a PBE-GGA calculation of a relaxed Sm4YBi5 crystal, from the Open Quantum Materials Database.

The energy is -5.49 eV per atom. The value obtained for the total magnetization is 0.01 μB per cell.

The space group is I4/mmm (No. 139) and the conventional cell measures 4.531, 4.531 and 32.023 Å, with angles of 90.00, 90.00 and 90.00 degrees. The distinct sites, in fractional coordinates, are Sm at (0.000, 0.000, 0.100), Sm at (0.000, 0.000, 0.300), Y at (0.000, 0.000, 0.500), Bi at (0.000, 0.000, 0.000), Bi at (0.000, 0.000, 0.200) and Bi at (0.000, 0.000, 0.401).

2.
The following is a PBE-GGA calculation of a relaxed PbAuBrO crystal, from the Open Quantum Materials Database.

The energy is -3.89 eV per atom.

The space group is Pnma (No. 62) and the conventional cell measures 7.844, 3.997 and 12.862 Å, with angles of 90.00, 90.00 and 90.00 degrees. The distinct sites, in fractional coordinates, are Pb at (0.197, 0.250, 0.025), Au at (0.054, 0.750, 0.785), Br at (0.006, 0.750, 0.348) and O at (0.105, 0.750, 0.947).

3.
The following is a PBE-GGA calculation of a relaxed TbHoTlPd2 crystal, from the Open Quantum Materials Database.

The energy is -5.15 eV per atom. The value obtained for the total magnetization is 0.01 μB per cell.

The space group is Amm2 (No. 38) and the conventional cell measures 3.662, 4.127 and 15.076 Å, with angles of 90.00, 90.00 and 90.00 degrees. The distinct sites, in fractional coordinates, are Tb at (0.000, 0.000, 0.000), Ho at (0.000, 0.000, 0.731), Tl at (0.500, 0.000, 0.366), Pd at (0.500, 0.000, 0.176) and Pd at (0.500, 0.000, 0.557).

4.
The following is a PBE-GGA calculation of a relaxed InAg3IrSe4 crystal, from the Open Quantum Materials Database.

The energy is -3.73 eV per atom. The value obtained for the total magnetization is 0.04 μB per cell.

The space group is P-43m (No. 215) and the conventional cell measures 6.241, 6.241 and 6.241 Å, with angles of 90.00, 90.00 and 90.00 degrees. The distinct sites, in fractional coordinates, are In at (0.000, 0.000, 0.000), Ag at (0.000, 0.500, 0.500), Ir at (0.500, 0.500, 0.500) and Se at (0.269, 0.269, 0.269).

5.
The following is a PBE-GGA calculation of a relaxed ZrTlAgSe3 crystal, from the Open Quantum Materials Database.

The energy is -4.77 eV per atom. The value obtained for the total magnetization is 0.03 μB per cell.

The space group is Pnma (No. 62) and the conventional cell measures 12.384, 3.969 and 12.542 Å, with angles of 90.00, 90.00 and 90.00 degrees. The distinct sites, in fractional coordinates, are Zr at (0.042, 0.250, 0.162), Tl at (0.163, 0.250, 0.494), Ag at (0.240, 0.750, 0.310), Se at (0.020, 0.750, 0.313), Se at (0.083, 0.250, 0.934) and Se at (0.249, 0.250, 0.162).

6.
The following is a PBE-GGA calculation of a relaxed LaAl6Ag crystal, from the Open Quantum Materials Database.

The energy is -3.84 eV per atom. The value obtained for the total magnetization is 0.00 μB per cell.

The space group is P-6m2 (No. 187) and the conventional cell measures 6.3136, 6.3136 and 4.6234 Å, with angles of 90.00, 90.00 and 120.00 degrees. The distinct sites, in fractional coordinates, are La at (0.0000, 0.0000, 0.0000), Al at (0.0099, 0.5049, 0.0000), Al at (0.1890, 0.3779, 0.5000) and Ag at (0.6667, 0.3333, 0.5000).